(1)
This record from Alexandria via LeMat-Bulk describes crystalline Rb2NaIBr6 at its relaxed geometry. The functional is GGA-PBE.

Cell: 8.4460 8.4460 11.2255 Å, 90.00 90.00 90.00°
Closest atoms and distances in Å follow each position.
Space group I4/mmm (No. 139)
Unique sites:
Rb1 0.0000 0.5000 0.2500 (multiplicity 4)  12 Br 4.10-4.23
Na1 0.0000 0.0000 0.0000 (multiplicity 2)  6 Br 2.85-2.95
I1 0.0000 0.0000 0.5000 (multiplicity 2)  2 Br 2.66
Br1 0.0000 0.0000 0.2630 (multiplicity 4)  1 I 2.66, 1 Na 2.95
Br2 0.2389 0.2389 0.0000 (multiplicity 8)  1 Na 2.85, 1 I 3.12

Calculated values
density of states at the Fermi level	14.136	states/eV/cell

***

(2)
This record from Alexandria via LeMat-Bulk describes crystalline Rb2NaI2Br6 at its relaxed geometry. The functional is GGA-PBE.

Cell: 16.4134 7.6620 8.7781 Å, 90.00 121.51 90.00°
Closest atoms and distances in Å follow each position.
Space group C2/m (No. 12)
Unique sites:
Rb1 0.2282 0.0000 0.2753 (multiplicity 4)  5 Br 3.47-3.72
Na1 0.0000 0.0000 0.5000 (multiplicity 2)  4 Br 2.91
I1 0.0760 0.5000 0.8596 (multiplicity 4)  1 Br 2.66
Br1 0.0892 0.2545 0.3855 (multiplicity 8)  1 Na 2.91, 1 I 3.07
Br2 0.2434 0.0000 0.8674 (multiplicity 4)  1 I 2.66

Calculated values
density of states at the Fermi level	15.652	states/eV/cell

***

Number 1: mass density 3.32 g cm⁻³, raw formation energy -0.875 eV/atom, volume 800.8 Å³/cell. Number 2: mass density 3.27 g cm⁻³, raw formation energy -0.815 eV/atom, volume 941.1 Å³/cell.